1.
! MnNi2Ru, PBEsol geometry, DFT meta-GGA SCAN; values from VASP
! * ΔH_f (0 K): -0.03 eV/atom
! * V: 45.2 Å³/cell
&SYSTEM
  ibrav = 0, nat = 4, ntyp = 3
/
ATOMIC_SPECIES
Ni 58.69 Ni.upf
Mn 54.94 Mn.upf
Ru 101.07 Ru.upf
CELL_PARAMETERS angstrom
3.562 0.000 0.000
0.000 3.562 0.000
-1.781 -1.781 3.558
ATOMIC_POSITIONS crystal
Ni 0.000 0.000 0.000
Mn 0.250 0.750 0.500
Ni 0.750 0.250 0.500
Ru 0.500 0.500 0.000

2.
! BeSi2Cl, PBEsol geometry, DFT meta-GGA SCAN; values from VASP
! * energy: -7.432 eV per atom
! * V: 58.0 Å³/cell
&SYSTEM
  ibrav = 0, nat = 4, ntyp = 3
/
ATOMIC_SPECIES
Cl 35.45 Cl.upf
Be 9.01 Be.upf
Si 28.09 Si.upf
CELL_PARAMETERS angstrom
2.755 0.000 0.000
0.000 4.482 0.000
0.000 0.000 4.700
ATOMIC_POSITIONS crystal
Cl 0.000 0.500 0.500
Be 0.500 0.500 0.000
Si 0.000 0.000 0.000
Si 0.500 0.000 0.500